--- w ---
Ag3SbAs | PBE | optimized geometry

The structure belongs to space group Pm-3m (No. 221); the cell edges are 4.983, 4.983 and 4.983 Å and the angles 90.00°, 90.00° and 90.00°. The inequivalent atoms are Ag at (0.000, 0.000, 0.500), Sb at (0.500, 0.500, 0.500) and As at (0.000, 0.000, 0.000).

The magnetization comes out at 0.00 μB/atom.


--- x ---
Ag3SbAs | PBE | optimized geometry

The structure belongs to space group Pm-3m (No. 221); the cell edges are 5.280, 5.280 and 5.280 Å and the angles 90.00°, 90.00° and 90.00°. The inequivalent atoms are Ag at (0.000, 0.000, 0.500), Sb at (0.000, 0.000, 0.000) and As at (0.500, 0.500, 0.500).

The magnetization comes out at 0.53 μB/atom.


Which one is most stable, and which one is least stable? w is the most stable of them, while x is the least stable.


--- w ---
Sc3AgAs | PBE | optimized geometry

The structure belongs to space group Pm-3m (No. 221); the cell edges are 5.020, 5.020 and 5.020 Å and the angles 90.00°, 90.00° and 90.00°. The inequivalent atoms are Sc at (0.000, 0.000, 0.500), Ag at (0.500, 0.500, 0.500) and As at (0.000, 0.000, 0.000).

The magnetization comes out at 0.22 μB/atom.


--- x ---
Sc3AgAs | PBE | optimized geometry

The structure belongs to space group Pm-3m (No. 221); the cell edges are 5.093, 5.093 and 5.093 Å and the angles 90.00°, 90.00° and 90.00°. The inequivalent atoms are Sc at (0.000, 0.000, 0.500), Ag at (0.000, 0.000, 0.000) and As at (0.500, 0.500, 0.500).

The magnetization comes out at 0.00 μB/atom.


Which one is most stable, and which one is least stable? w is the most stable of them, while x is the least stable.


--- w ---
ScAgAs2Se | PBE | optimized geometry

The structure belongs to space group P4/mmm (No. 123); the cell edges are 5.117, 5.117 and 5.116 Å and the angles 90.00°, 90.00° and 90.00°. The inequivalent atoms are Sc at (0.000, 0.000, 0.000), Ag at (0.500, 0.500, 0.500), As at (0.000, 0.500, 0.000) and Se at (0.000, 0.000, 0.500).

The magnetization comes out at 0.00 μB/atom.


--- x ---
ScAgAs2Se | PBE | optimized geometry

The structure belongs to space group P4/mmm (No. 123); the cell edges are 4.929, 4.929 and 5.089 Å and the angles 90.00°, 90.00° and 90.00°. The inequivalent atoms are Sc at (0.000, 0.000, 0.000), Ag at (0.500, 0.500, 0.500), As at (0.000, 0.500, 0.500) and Se at (0.500, 0.500, 0.000).

The magnetization comes out at 0.00 μB/atom.


Which one is most stable, and which one is least stable? w is the most stable of them, while x is the least stable.


--- w ---
Ag3AsSe4 | PBE | optimized geometry

The structure belongs to space group Pmn2_1 (No. 31); the cell edges are 8.328, 7.368 and 6.979 Å and the angles 90.00°, 90.00° and 90.00°. The inequivalent atoms are Ag at (0.000, 0.150, 0.000), Ag at (0.235, 0.311, 0.455), As at (0.000, 0.821, 0.474), Se at (0.000, 0.120, 0.609), Se at (0.000, 0.811, 0.130) and Se at (0.235, 0.658, 0.581).

The magnetization comes out at 0.00 μB/atom.


--- x ---
Ag3AsSe4 | PBE | optimized geometry

The structure belongs to space group P-43m (No. 215); the cell edges are 6.002, 6.002 and 6.002 Å and the angles 90.00°, 90.00° and 90.00°. The inequivalent atoms are Ag at (0.000, 0.000, 0.500), As at (0.500, 0.500, 0.500) and Se at (0.265, 0.265, 0.735).

The magnetization comes out at 0.00 μB/atom.


Which one is most stable, and which one is least stable? w is the most stable of them, while x is the least stable.


--- w ---
AgAs2Se2 | PBE | optimized geometry

The structure belongs to space group P4/mbm (No. 127); the cell edges are 7.927, 7.927 and 3.731 Å and the angles 90.00°, 90.00° and 90.00°. The inequivalent atoms are Ag at (0.000, 0.000, 0.000), As at (0.209, 0.291, 0.000) and Se at (0.145, 0.645, 0.500).

The magnetization comes out at 0.00 μB/atom.


--- x ---
AgAs2Se2 | PBE | optimized geometry

The structure belongs to space group I4/mmm (No. 139); the cell edges are 3.774, 3.774 and 15.276 Å and the angles 90.00°, 90.00° and 90.00°. The inequivalent atoms are Ag at (0.000, 0.000, 0.000), As at (0.000, 0.500, 0.250) and Se at (0.000, 0.000, 0.410).

The magnetization comes out at 0.00 μB/atom.


Which one is most stable, and which one is least stable? w is the most stable of them, while x is the least stable.


--- w ---
Ag2As2Se | PBE | optimized geometry

The structure belongs to space group P4/mbm (No. 127); the cell edges are 7.895, 7.895 and 3.245 Å and the angles 90.00°, 90.00° and 90.00°. The inequivalent atoms are Ag at (0.122, 0.378, 0.000), As at (0.186, 0.686, 0.500) and Se at (0.000, 0.000, 0.500).

The magnetization comes out at 0.00 μB/atom.


--- x ---
Ag2As2Se | PBE | optimized geometry

The structure belongs to space group P4/mmm (No. 123); the cell edges are 4.918, 4.918 and 5.054 Å and the angles 90.00°, 90.00° and 90.00°. The inequivalent atoms are Ag at (0.000, 0.500, 0.000), As at (0.000, 0.000, 0.000), As at (0.000, 0.000, 0.500) and Se at (0.500, 0.500, 0.500).

The magnetization comes out at 0.00 μB/atom.


--- y ---
Ag2As2Se | PBE | optimized geometry

The structure belongs to space group I4/mmm (No. 139); the cell edges are 4.541, 4.541 and 10.442 Å and the angles 90.00°, 90.00° and 90.00°. The inequivalent atoms are Ag at (0.000, 0.500, 0.250), As at (0.000, 0.000, 0.115) and Se at (0.000, 0.000, 0.500).

The magnetization comes out at 0.00 μB/atom.


Which one is most stable, and which one is least stable? w is the most stable of them, while x is the least stable.